First-principles (PBE-GGA) data for a relaxed La4CeRh2 crystal, as listed in Alexandria via LeMat-Bulk.

```
La4CeRh2
1.0
4.616 -6.449 0.000
4.616 6.449 0.000
0.000 0.000 6.633
La Ce Rh
8 2 4
direct
0.064 0.581 0.750 La
0.306 0.306 0.000 La
0.306 0.306 0.500 La
0.419 0.936 0.750 La
0.581 0.064 0.250 La
0.694 0.694 0.000 La
0.694 0.694 0.500 La
0.936 0.419 0.250 La
0.133 0.867 0.250 Ce
0.867 0.133 0.750 Ce
0.061 0.939 0.750 Rh
0.324 0.676 0.250 Rh
0.676 0.324 0.750 Rh
0.939 0.061 0.250 Rh
```

## Properties
As for the formation energy: -0.342 eV per atom. Its magnetization is 0.00 μB per formula unit.